Hg3BiN after structural relaxation, computed with PBE-GGA.

Values from the calculation:
**VASP energy**: -2.163 eV/atom
**SG**: P2_1/c, No. 14

a b c (Å): 7.0280 5.8868 13.0680
angles (deg): 90.00 93.62 90.00
Last column: nearest neighbours and their distance in Å.
Element x y z (fractional)
Hg  0.0786  0.1042  0.1880  1 N 2.21
Hg  0.0786  0.3958  0.6880  1 N 2.21
Hg  0.1959  0.5825  0.0668  5 Hg 3.25-3.58, 1 Bi 3.60
Hg  0.1959  0.9175  0.5668  5 Hg 3.25-3.58, 1 Bi 3.60
Hg  0.4207  0.6545  0.8308  2 N 2.28-2.41
Hg  0.4207  0.8455  0.3308  2 N 2.28-2.41
Hg  0.5793  0.1545  0.6692  2 N 2.28-2.41
Hg  0.5793  0.3455  0.1692  2 N 2.28-2.41
Hg  0.8041  0.0825  0.4332  5 Hg 3.25-3.58, 1 Bi 3.60
Hg  0.8041  0.4175  0.9332  5 Hg 3.25-3.58, 1 Bi 3.60
Hg  0.9214  0.6042  0.3120  1 N 2.21
Hg  0.9214  0.8958  0.8120  1 N 2.21
Bi  0.2678  0.0724  0.9086  1 N 2.23
Bi  0.2678  0.4276  0.4086  1 N 2.23
Bi  0.7322  0.5724  0.5914  1 N 2.23
Bi  0.7322  0.9276  0.0914  1 N 2.23
N  0.3410  0.2049  0.2784  3 Hg 2.21-2.41, 1 Bi 2.23
N  0.3410  0.2951  0.7784  3 Hg 2.21-2.41, 1 Bi 2.23
N  0.6590  0.7049  0.2216  3 Hg 2.21-2.41, 1 Bi 2.23
N  0.6590  0.7951  0.7216  3 Hg 2.21-2.41, 1 Bi 2.23